A plane-wave DFT calculation with SCAN was carried out for a crystal of NaMo3P3O13 relaxed with PBEsol.

Cell: 6.5234 7.6703 10.6079 Å, 102.39 90.00 90.00°
Closest atoms and distances in Å follow each position.
Sites, in units of the cell vectors:
Na: 0.7500 0.3332 0.8152  5 O 2.47-2.51
Na: 0.2500 0.6668 0.1848  5 O 2.47-2.51
Mo: 0.2500 0.6270 0.8012  6 O 1.96-2.16
Mo: 0.7500 0.3730 0.1988  6 O 1.96-2.16
Mo: 0.2500 0.2174 0.5472  5 O 1.99-2.06
Mo: 0.0000 0.0000 0.0000  6 O 2.04-2.13
Mo: 0.7500 0.7826 0.4528  5 O 1.99-2.06
Mo: 0.5000 0.0000 0.0000  6 O 2.04-2.13
P: 0.2500 0.7989 0.5290  4 O 1.54-1.56
P: 0.7500 0.2011 0.4710  4 O 1.54-1.56
P: 0.2500 0.2792 0.2293  4 O 1.52-1.59
P: 0.7500 0.7208 0.7707  4 O 1.52-1.59
P: 0.7500 0.6977 0.1186  4 O 1.54-1.58
P: 0.2500 0.3023 0.8814  4 O 1.54-1.58
O: 0.7500 0.6606 0.2598  1 P 1.58
O: 0.9381 0.2373 0.5605  1 P 1.54
O: 0.2500 0.2318 0.3617  1 P 1.52
O: 0.9463 0.7996 0.0991  1 P 1.54
O: 0.7500 0.3285 0.3767  1 P 1.54
O: 0.7500 0.1341 0.0874  3 Mo 1.96-2.04
O: 0.2500 0.6715 0.6233  1 P 1.54
O: 0.4463 0.2004 0.9009  1 P 1.54
O: 0.2500 0.9926 0.6121  1 P 1.56
O: 0.7500 0.0074 0.3879  1 P 1.56
O: 0.4367 0.3880 0.2054  1 P 1.53
O: 0.2500 0.8659 0.9126  3 Mo 1.96-2.04
O: 0.9367 0.6120 0.7946  1 P 1.53
O: 0.7500 0.5019 0.0417  1 P 1.55
O: 0.7500 0.7682 0.6383  1 P 1.52
O: 0.0537 0.2004 0.9009  1 P 1.54
O: 0.5619 0.2373 0.5605  1 P 1.54
O: 0.0619 0.7627 0.4395  1 P 1.54
O: 0.0633 0.3880 0.2054  1 P 1.53
O: 0.2500 0.3394 0.7402  1 P 1.58
O: 0.7500 0.9038 0.8754  1 P 1.59
O: 0.2500 0.0962 0.1246  1 P 1.59
O: 0.5633 0.6120 0.7946  1 P 1.53
O: 0.5537 0.7996 0.0991  1 P 1.54
O: 0.4381 0.7627 0.4395  1 P 1.54
O: 0.2500 0.4981 0.9583  1 P 1.55

## Properties
Formation energy from raw total energies, eV/atom: -2.199
Total magnetization, μB per cell: 16.00
D(E_F), states/eV per atom: 0.1576
Symmetry: P2_1/m, No. 11
VASP energy, eV/atom: -13.252